Record 1
# CsBAs (GGA-PBE, optimized geometry)
data_CsBAs
_symmetry_space_group_name_H-M 'P 1 21/c 1'
_symmetry_Int_Tables_number 14
_cell_length_a 7.8088
_cell_length_b 6.4613
_cell_length_c 6.9101
_cell_angle_alpha 90.00
_cell_angle_beta 116.22
_cell_angle_gamma 90.00
loop_
_symmetry_equiv_pos_as_xyz
'x,y,z'
'-x,-y,-z'
'-x,y+1/2,-z+1/2'
'x,-y+1/2,z+1/2'
loop_
_atom_site_label
_atom_site_fract_x
_atom_site_fract_y
_atom_site_fract_z
Cs1 0.1699 0.1354 0.3530
B1 0.4166 0.6331 0.3087
As1 0.4053 0.6293 0.6032
# Total energy, eV per atom: -3.901
# Energy relative to the lowest polymorph listed for this composition, eV per atom: 0.117
# DOS at the Fermi energy, states/eV per atom: 0.048
# Crystal system: monoclinic
# Spin magnetization, μB per atom: 0.00


Record 2
# Sm8Te4CS3 (GGA-PBE, optimized geometry)
data_Sm8Te4CS3
_symmetry_space_group_name_H-M 'R -3 m'
_symmetry_Int_Tables_number 166
_symmetry_space_group_name_Hall '-R 3 2"'
_cell_length_a 8.2373
_cell_length_b 8.2373
_cell_length_c 21.3936
_cell_angle_alpha 90.00
_cell_angle_beta 90.00
_cell_angle_gamma 120.00
loop_
_atom_site_label
_atom_site_fract_x
_atom_site_fract_y
_atom_site_fract_z
Sm1 0.0000 0.0000 0.2361
Sm2 0.0246 0.5123 0.2332
Te1 0.0000 0.0000 0.0000
Te2 0.0000 0.5000 0.0000
C1 0.0000 0.0000 0.5000
S1 0.0000 0.5000 0.5000
# Total energy, eV per atom: -6.017
# Uncorrected formation energy, meV per atom: -1521.6
# DOS at the Fermi energy, states/eV per atom: 0.361
# Crystal system: trigonal
# Spin magnetization, μB per atom: 0.00


Record 3
# Sr4AsSe2I (GGA-PBE, optimized geometry)
data_Sr4AsSe2I
_symmetry_space_group_name_H-M 'P 1 2/m 1'
_symmetry_Int_Tables_number 10
_cell_length_a 7.8410
_cell_length_b 4.5534
_cell_length_c 7.9076
_cell_angle_alpha 90.00
_cell_angle_beta 108.70
_cell_angle_gamma 90.00
loop_
_symmetry_equiv_pos_as_xyz
'x,y,z'
'-x,-y,-z'
'-x,y,-z'
'x,-y,z'
loop_
_atom_site_label
_atom_site_fract_x
_atom_site_fract_y
_atom_site_fract_z
Sr1 0.2330 0.0000 0.2203
Sr2 0.2501 0.5000 0.7689
As1 0.5000 0.0000 0.0000
Se1 0.0000 0.0000 0.5000
Se2 0.0000 0.5000 0.0000
I1 0.5000 0.5000 0.5000
# Total energy, eV per atom: -4.189
# Uncorrected formation energy, meV per atom: -1701.5
# Crystal system: monoclinic
# Spin magnetization, μB per atom: 0.00


Record 4
# PrMn5Si3 (GGA-PBE, optimized geometry)
data_PrMn5Si3
_symmetry_space_group_name_H-M 'C m c m'
_symmetry_Int_Tables_number 63
_symmetry_space_group_name_Hall '-C 2c 2'
_cell_length_a 3.8569
_cell_length_b 12.2093
_cell_length_c 11.3197
_cell_angle_alpha 90.00
_cell_angle_beta 90.00
_cell_angle_gamma 90.00
loop_
_atom_site_label
_atom_site_fract_x
_atom_site_fract_y
_atom_site_fract_z
Pr1 0.0000 0.1668 0.2500
Mn1 0.0000 0.0000 0.0000
Mn2 0.0000 0.1913 0.5568
Mn3 0.0000 0.4440 0.1487
Si1 0.0000 0.1188 0.7500
Si2 0.0000 0.3820 0.5502
# Total energy, eV per atom: -7.792
# Uncorrected formation energy, meV per atom: -358.9
# DOS at the Fermi energy, states/eV per atom: 0.662
# Crystal system: orthorhombic
# Spin magnetization, μB per atom: 0.84


Record 5
# BaTbSe2F (GGA-PBE, optimized geometry)
data_BaTbSe2F
_symmetry_space_group_name_H-M 'P 4/n m m'
_symmetry_Int_Tables_number 129
_cell_length_a 4.2369
_cell_length_b 4.2369
_cell_length_c 15.0353
_cell_angle_alpha 90.00
_cell_angle_beta 90.00
_cell_angle_gamma 90.00
loop_
_symmetry_equiv_pos_as_xyz
'x,y,z'
'-x,-y,-z'
'-y+1/2,x,z'
'y+1/2,-x,-z'
'-x+1/2,-y+1/2,z'
'x+1/2,y+1/2,-z'
'y,-x+1/2,z'
'-y,x+1/2,-z'
'x+1/2,-y,-z'
'-x+1/2,y,z'
'-y,-x,-z'
'y,x,z'
'-x,y+1/2,-z'
'x,-y+1/2,z'
'y+1/2,x+1/2,-z'
'-y+1/2,-x+1/2,z'
loop_
_atom_site_label
_atom_site_fract_x
_atom_site_fract_y
_atom_site_fract_z
Ba1 0.2500 0.2500 0.1073
Tb1 0.2500 0.2500 0.6147
Se1 0.2500 0.2500 0.4107
Se2 0.2500 0.2500 0.7892
F1 0.2500 0.7500 0.0000
# Total energy, eV per atom: -5.539
# Uncorrected formation energy, meV per atom: -2460.7
# DOS at the Fermi energy, states/eV per atom: 0.191
# Crystal system: tetragonal
# Spin magnetization, μB per atom: 0.00


Record 6
# Hf3Fe2Os (GGA-PBE, optimized geometry)
data_Hf3Fe2Os
_symmetry_space_group_name_H-M 'P 4/m m m'
_symmetry_Int_Tables_number 123
_symmetry_space_group_name_Hall '-P 4 2'
_cell_length_a 3.1823
_cell_length_b 3.1823
_cell_length_c 9.5421
_cell_angle_alpha 90.00
_cell_angle_beta 90.00
_cell_angle_gamma 90.00
loop_
_atom_site_label
_atom_site_fract_x
_atom_site_fract_y
_atom_site_fract_z
Hf1 0.0000 0.0000 0.0000
Hf2 0.0000 0.0000 0.3263
Fe1 0.5000 0.5000 0.1630
Os1 0.5000 0.5000 0.5000
# Total energy, eV per atom: -10.114
# DOS at the Fermi energy, states/eV per atom: 0.351
# Crystal system: tetragonal
# Spin magnetization, μB per atom: 0.04


Record 7
# Na2MnAu (GGA-PBE, optimized geometry)
data_Na2MnAu
_symmetry_space_group_name_H-M 'I -4 2 d'
_symmetry_Int_Tables_number 122
_symmetry_space_group_name_Hall 'I -4 2bw'
_cell_length_a 8.4015
_cell_length_b 8.4015
_cell_length_c 5.4519
_cell_angle_alpha 90.00
_cell_angle_beta 90.00
_cell_angle_gamma 90.00
loop_
_atom_site_label
_atom_site_fract_x
_atom_site_fract_y
_atom_site_fract_z
Na1 0.2173 0.2500 0.1250
Mn1 0.0000 0.0000 0.5000
Au1 0.0000 0.0000 0.0000
# Total energy, eV per atom: -3.432
# Energy relative to the lowest polymorph listed for this composition, eV per atom: 0.000
# DOS at the Fermi energy, states/eV per atom: 0.533
# Crystal system: tetragonal
# Spin magnetization, μB per atom: 1.10


Record 8
# Cs2ErSb2Te6 (GGA-PBE, optimized geometry)
data_Cs2ErSb2Te6
_symmetry_space_group_name_H-M 'C 1 2/m 1'
_symmetry_Int_Tables_number 12
_cell_length_a 7.6432
_cell_length_b 13.2054
_cell_length_c 9.6233
_cell_angle_alpha 90.00
_cell_angle_beta 105.60
_cell_angle_gamma 90.00
loop_
_symmetry_equiv_pos_as_xyz
'x,y,z'
'-x,-y,-z'
'-x,y,-z'
'x,-y,z'
'x+1/2,y+1/2,z'
'-x+1/2,-y+1/2,-z'
'-x+1/2,y+1/2,-z'
'x+1/2,-y+1/2,z'
loop_
_atom_site_label
_atom_site_fract_x
_atom_site_fract_y
_atom_site_fract_z
Cs1 0.0000 0.1668 0.0000
Er1 0.0000 0.0000 0.5000
Sb1 0.0000 0.3312 0.5000
Te1 0.2282 0.5000 0.6847
Te2 0.2307 0.1657 0.6859
# Total energy, eV per atom: -3.726
# Uncorrected formation energy, meV per atom: -693.1
# DOS at the Fermi energy, states/eV per atom: 0.574
# Crystal system: monoclinic
# Spin magnetization, μB per atom: 0.00


Record 9
# ReTe2PdN (GGA-PBE, optimized geometry)
data_ReTe2PdN
_symmetry_space_group_name_H-M 'P 4/m m m'
_symmetry_Int_Tables_number 123
_symmetry_space_group_name_Hall '-P 4 2'
_cell_length_a 5.3522
_cell_length_b 5.3522
_cell_length_c 3.7043
_cell_angle_alpha 90.00
_cell_angle_beta 90.00
_cell_angle_gamma 90.00
loop_
_atom_site_label
_atom_site_fract_x
_atom_site_fract_y
_atom_site_fract_z
Re1 0.0000 0.0000 0.0000
Te1 0.0000 0.5000 0.0000
Pd1 0.5000 0.5000 0.5000
N1 0.0000 0.0000 0.5000
# Total energy, eV per atom: -6.029
# Energy relative to the lowest polymorph listed for this composition, eV per atom: 0.000
# Uncorrected formation energy, meV per atom: 420.5
# DOS at the Fermi energy, states/eV per atom: 0.850
# Crystal system: tetragonal
# Spin magnetization, μB per atom: 0.00


Record 10
# CdTcPd6 (GGA-PBE, optimized geometry)
data_CdTcPd6
_symmetry_space_group_name_H-M 'P 4/m m m'
_symmetry_Int_Tables_number 123
_symmetry_space_group_name_Hall '-P 4 2'
_cell_length_a 3.9681
_cell_length_b 3.9681
_cell_length_c 7.9956
_cell_angle_alpha 90.00
_cell_angle_beta 90.00
_cell_angle_gamma 90.00
loop_
_atom_site_label
_atom_site_fract_x
_atom_site_fract_y
_atom_site_fract_z
Cd1 0.0000 0.0000 0.0000
Tc1 0.0000 0.0000 0.5000
Pd1 0.0000 0.5000 0.2628
Pd2 0.5000 0.5000 0.0000
Pd3 0.5000 0.5000 0.5000
# Total energy, eV per atom: -5.400
# DOS at the Fermi energy, states/eV per atom: 0.620
# Crystal system: tetragonal
# Spin magnetization, μB per atom: 0.20


Record 11
# Ta3Ni3Rh2 (GGA-PBE, optimized geometry)
data_Ta3Ni3Rh2
_symmetry_space_group_name_H-M 'P -6 2 m'
_symmetry_Int_Tables_number 189
_symmetry_space_group_name_Hall 'P -6 -2'
_cell_length_a 6.7598
_cell_length_b 6.7598
_cell_length_c 3.0501
_cell_angle_alpha 90.00
_cell_angle_beta 90.00
_cell_angle_gamma 120.00
loop_
_atom_site_label
_atom_site_fract_x
_atom_site_fract_y
_atom_site_fract_z
Ta1 0.0000 0.3622 0.0000
Ni1 0.0000 0.7778 0.5000
Rh1 0.3333 0.6667 0.5000
# Total energy, eV per atom: -8.666
# DOS at the Fermi energy, states/eV per atom: 0.550
# Crystal system: hexagonal
# Spin magnetization, μB per atom: 0.00


Record 12
# Tb8Ho3Th3 (GGA-PBE, optimized geometry)
data_Tb8Ho3Th3
_symmetry_space_group_name_H-M 'I m m m'
_symmetry_Int_Tables_number 71
_symmetry_space_group_name_Hall '-I 2 2'
_cell_length_a 5.6754
_cell_length_b 10.6124
_cell_length_c 14.9901
_cell_angle_alpha 90.00
_cell_angle_beta 90.00
_cell_angle_gamma 90.00
loop_
_atom_site_label
_atom_site_fract_x
_atom_site_fract_y
_atom_site_fract_z
Tb1 0.0000 0.1589 0.2224
Tb2 0.0000 0.3382 0.3974
Ho1 0.0000 0.0000 0.0000
Ho2 0.0000 0.3090 0.0000
Th1 0.0000 0.0000 0.5000
Th2 0.0000 0.5000 0.1855
# Total energy, eV per atom: -5.060
# DOS at the Fermi energy, states/eV per atom: 1.556
# Crystal system: orthorhombic
# Spin magnetization, μB per atom: 0.00